1.
{
  "formula": "La3TlI",
  "functional": "GGA-PBE",
  "state": "optimized geometry",
  "lattice_angstrom": [[-2.905, 5.239, 4.365], [-9.601, 0.158, -2.469], [-2.915, -4.932, 8.091]],
  "species": ["Tl", "Tl", "Tl", "Tl", "I", "I", "I", "I", "La", "La", "La", "La", "La", "La", "La", "La", "La", "La", "La", "La"],
  "frac_coords": [[0.250, 0.873, 0.127], [0.750, 0.127, 0.873], [0.750, 0.893, 0.107], [0.250, 0.107, 0.893], [0.056, 0.689, 0.561], [0.944, 0.311, 0.439], [0.556, 0.561, 0.689], [0.444, 0.439, 0.311], [0.129, 0.756, 0.861], [0.363, 0.383, 0.964], [0.871, 0.244, 0.139], [0.863, 0.964, 0.383], [0.971, 0.400, 0.764], [0.137, 0.036, 0.617], [0.371, 0.139, 0.244], [0.029, 0.600, 0.236], [0.529, 0.236, 0.600], [0.471, 0.764, 0.400], [0.629, 0.861, 0.756], [0.637, 0.617, 0.036]],
  "relative_energy_mev_per_atom": 0,
  "e_form_raw_ev_per_atom": -0.475
}


2.
{
  "formula": "La2TlI2",
  "functional": "GGA-PBE",
  "state": "optimized geometry",
  "lattice_angstrom": [[-7.680, 2.924, 3.811], [3.661, -1.089, 8.214], [1.397, 3.821, -0.116]],
  "species": ["I", "I", "I", "I", "La", "La", "La", "La", "Tl", "Tl"],
  "frac_coords": [[0.365, 0.135, 0.500], [0.135, 0.635, 0.500], [0.635, 0.865, 0.500], [0.865, 0.365, 0.500], [0.839, 0.661, 0.000], [0.161, 0.339, 0.000], [0.661, 0.161, 0.000], [0.339, 0.839, 0.000], [0.500, 0.500, 0.000], [0.000, 0.000, 0.000]],
  "relative_energy_mev_per_atom": 252,
  "e_form_raw_ev_per_atom": -0.745
}


3.
{
  "formula": "La2TlI2",
  "functional": "GGA-PBE",
  "state": "optimized geometry",
  "lattice_angstrom": [[-7.835, -2.401, 4.487], [4.511, 0.534, 8.163], [-0.961, 3.679, 0.291]],
  "species": ["La", "La", "La", "La", "I", "I", "I", "I", "Tl", "Tl"],
  "frac_coords": [[0.834, 0.334, 0.500], [0.666, 0.834, 0.500], [0.334, 0.166, 0.500], [0.166, 0.666, 0.500], [0.869, 0.631, 0.000], [0.631, 0.131, 0.000], [0.131, 0.369, 0.000], [0.369, 0.869, 0.000], [0.500, 0.500, 0.000], [0.000, 0.000, 0.000]],
  "relative_energy_mev_per_atom": 322,
  "e_form_raw_ev_per_atom": -0.675
}


4.
{
  "formula": "La4TlI5",
  "functional": "GGA-PBE",
  "state": "optimized geometry",
  "lattice_angstrom": [[-2.465, 3.483, 1.546], [-6.302, -1.455, -6.769], [-2.334, -7.478, 6.464]],
  "species": ["I", "I", "I", "I", "I", "La", "La", "La", "La", "Tl"],
  "frac_coords": [[0.168, 0.815, 0.337], [0.832, 0.185, 0.663], [0.830, 0.674, 0.661], [0.170, 0.326, 0.339], [0.500, 0.500, 0.000], [0.002, 0.234, 0.004], [0.338, 0.931, 0.676], [0.998, 0.766, 0.996], [0.662, 0.069, 0.324], [0.500, 0.000, 0.000]],
  "e_form_raw_ev_per_atom": -1.151
}


5.
{
  "formula": "La4TlI3",
  "functional": "GGA-PBE",
  "state": "optimized geometry",
  "lattice_angstrom": [[4.748, 0.000, 0.000], [0.000, 7.912, -0.183], [0.000, -2.668, 7.451]],
  "species": ["La", "La", "La", "La", "I", "I", "I", "Tl"],
  "frac_coords": [[0.500, 0.756, 0.244], [0.500, 0.244, 0.756], [0.000, 0.761, 0.761], [0.000, 0.239, 0.239], [0.000, 0.500, 0.000], [0.000, 0.000, 0.500], [0.500, 0.500, 0.500], [0.500, 0.000, 0.000]],
  "e_form_raw_ev_per_atom": -0.847
}


6.
{
  "formula": "La3TlI",
  "functional": "GGA-PBE",
  "state": "optimized geometry",
  "lattice_angstrom": [[5.930, 0.000, 0.000], [0.000, 5.930, 0.000], [0.000, 0.000, 5.930]],
  "species": ["La", "La", "La", "Tl", "I"],
  "frac_coords": [[0.000, 0.500, 0.000], [0.500, 0.000, 0.000], [0.000, 0.000, 0.500], [0.500, 0.500, 0.500], [0.000, 0.000, 0.000]],
  "relative_energy_mev_per_atom": 399,
  "e_form_raw_ev_per_atom": -0.075
}


Short version: uncorrected energy = -21.073; -19.047; -18.696; -41.338; -33.502; -19.076 eV/f.u., in the order given.